1.
Below is a geometry-optimized AlBi2PbF structure, with properties calculated at the GGA-PBE level.

```
AlBi2PbF
1.0
6.0199 0.0000 0.0000
0.0000 3.6542 0.0000
0.0000 0.0000 6.0199
Pb F Bi Al
1 1 2 1
direct
0.5000 0.5000 0.5000
0.0000 0.0000 0.0000
0.0000 0.0000 0.5000
0.5000 0.0000 0.0000
0.0000 0.5000 0.0000
```

Values from the calculation:
Space-group type: P4/mmm
Total DFT energy (no corrections) in eV per atom: -3.73
Formation energy (no corrections) in eV per atom: -0.317
Magnetic moment in μB per formula unit: 0.00

***

2.
Below is a geometry-optimized TbCePu2 structure, with properties calculated at the GGA-PBE level.

```
TbCePu2
1.0
-0.6088 4.3472 3.2115
-2.8792 -0.3970 4.5973
2.5227 0.1991 4.8145
Tb Ce Pu
1 1 2
direct
0.0000 0.0000 0.0000
0.5000 0.5000 0.5000
0.2500 0.2500 0.2500
0.7500 0.7500 0.7500
```

Values from the calculation:
E above lowest polymorph in kJ/mol of formula units: 29
Space-group type: Fm-3m
Total DFT energy (no corrections) in eV per atom: -9.58
Energy of formation in meV per atom: 225
Magnetic moment in μB per formula unit: 14.01

***

3.
Below is a geometry-optimized TlSnP2Se8 structure, with properties calculated at the GGA-PBE level.

```
TlSnP2Se8
1.0
-0.5938 -1.2252 6.1165
-1.0437 -5.8685 1.9329
9.0241 -3.8593 3.3128
Tl Sn P Se
1 1 2 8
direct
0.5000 0.5000 0.5000
0.0000 0.0000 0.0000
0.2527 0.2527 0.2418
0.7473 0.7473 0.7582
0.1780 0.1780 0.4659
0.6000 0.3151 0.1746
0.8220 0.8220 0.5341
0.9103 0.6000 0.1746
0.0897 0.4000 0.8254
0.3151 0.9103 0.1746
0.6849 0.0897 0.8254
0.4000 0.6849 0.8254
```

Values from the calculation:
Space-group type: R-3
Total DFT energy (no corrections) in eV per atom: -3.82
Formation energy (no corrections) in eV per atom: -0.062
Magnetic moment in μB per formula unit: 0.00

***

4.
Below is a geometry-optimized TlZnPb2 structure, with properties calculated at the GGA-PBE level.

```
TlZnPb2
1.0
6.0506 0.1953 0.0000
2.2118 5.6352 0.0000
-4.1312 -2.9153 3.3290
Pb Tl Zn
2 1 1
direct
0.0000 0.0000 0.0000
0.2500 0.7500 0.5000
0.5000 0.5000 0.0000
0.7500 0.2500 0.5000
```

Values from the calculation:
Space-group type: I-4m2
Total DFT energy (no corrections) in eV per atom: -2.63
Energy of formation in meV per atom: 135
Magnetic moment in μB per formula unit: 0.00

***

5.
Below is a geometry-optimized BiSe3N structure, with properties calculated at the GGA-PBE level.

```
BiSe3N
1.0
-0.9022 3.0740 4.6947
-0.8808 -4.7736 2.9564
5.5420 -0.2583 1.2341
Bi Se N
1 3 1
direct
0.0000 0.0000 0.0000
0.0000 0.5000 0.0000
0.0000 0.0000 0.5000
0.5000 0.0000 0.0000
0.5000 0.5000 0.5000
```

Values from the calculation:
E above lowest polymorph in kJ/mol of formula units: 410
Space-group type: Pm-3m
Total DFT energy (no corrections) in eV per atom: -3.01
Formation energy (no corrections) in eV per atom: 1.523
Magnetic moment in μB per formula unit: 5.99

***

6.
Below is a geometry-optimized Be2Cr2Fe5Si structure, with properties calculated at the GGA-PBE level.

```
Be2Cr2Fe5Si
1.0
-0.2569 0.5805 2.7412
8.1261 -2.4254 1.2753
2.6260 8.0330 -1.4552
Be Cr Fe Si
4 4 10 2
direct
0.0000 0.1252 0.6252
0.0000 0.8748 0.3748
0.0000 0.6252 0.8748
0.0000 0.3748 0.1252
0.0000 0.6734 0.1734
0.0000 0.3266 0.8266
0.0000 0.1734 0.3266
0.0000 0.8266 0.6734
0.5000 0.2041 0.0643
0.5000 0.7959 0.9357
0.5000 0.0643 0.7959
0.5000 0.7041 0.4357
0.5000 0.9357 0.2041
0.5000 0.2959 0.5643
0.5000 0.5643 0.7041
0.5000 0.4357 0.2959
0.5000 0.5000 0.0000
0.5000 0.0000 0.5000
0.0000 0.0000 0.0000
0.0000 0.5000 0.5000
```

Values from the calculation:
Space-group type: P4/mbm
Total DFT energy (no corrections) in eV per atom: -7.50
Formation energy (no corrections) in eV per atom: -0.054
Magnetic moment in μB per formula unit: 0.44